No. 1
First-principles (PBE) data for a geometry-optimized Y7Hg structure, as listed in Alexandria.

## Properties
Formation energy (eV/atom): -0.0337
Total magnetic moment (μB/f.u.): 0.000

a b c (Å): 7.012 7.012 7.012
angles (deg): 60.00 60.00 60.00
Sites, in units of the cell vectors:
Y 0.000 0.000 0.500
Y 0.500 0.000 0.500
Y 0.000 0.500 0.500
Y 0.500 0.500 0.000
Y 0.000 0.500 0.000
Y 0.500 0.000 0.000
Y 0.500 0.500 0.500
Hg 0.000 0.000 0.000


No. 2
First-principles (PBE) data for a geometry-optimized Y2Hg structure, as listed in Alexandria.

## Properties
Formation energy (eV/atom): -0.3359
Total magnetic moment (μB/f.u.): 0.000

a b c (Å): 5.260 5.260 6.929
angles (deg): 90.00 90.00 60.00
Sites, in units of the cell vectors:
Hg 0.667 0.667 0.250
Hg 0.333 0.333 0.750
Y 0.000 0.000 0.000
Y 0.000 0.000 0.500
Y 0.667 0.667 0.750
Y 0.333 0.333 0.250


No. 3
First-principles (PBE) data for a geometry-optimized YHg4 structure, as listed in Alexandria.

## Properties
Formation energy (eV/atom): -0.2178
Polymorph energy (0 for the lowest one) (eV/atom): 0.004
Total magnetic moment (μB/f.u.): 0.000

a b c (Å): 5.091 4.968 6.398
angles (deg): 64.76 66.55 59.17
Sites, in units of the cell vectors:
Y 0.000 0.000 0.000
Hg 0.795 0.793 0.617
Hg 0.205 0.207 0.383
Hg 0.404 0.407 0.786
Hg 0.596 0.593 0.214


No. 4
First-principles (PBE) data for a geometry-optimized Y2Hg structure, as listed in Alexandria.

## Properties
Formation energy (eV/atom): -0.2501
Total magnetic moment (μB/f.u.): 0.000

a b c (Å): 8.344 8.344 5.665
angles (deg): 90.00 90.00 153.51
Sites, in units of the cell vectors:
Y 0.372 0.628 0.750
Y 0.060 0.940 0.750
Y 0.940 0.060 0.250
Y 0.628 0.372 0.250
Hg 0.717 0.283 0.750
Hg 0.283 0.717 0.250


No. 5
First-principles (PBE) data for a geometry-optimized YHg2 structure, as listed in Alexandria.

## Properties
Formation energy (eV/atom): -0.3542
Total magnetic moment (μB/f.u.): 0.000

a b c (Å): 4.512 4.512 15.297
angles (deg): 98.48 98.48 90.00
Sites, in units of the cell vectors:
Hg 0.250 0.250 0.500
Hg 0.750 0.750 0.500
Hg 0.500 0.000 0.000
Hg 0.000 0.500 0.000
Hg 0.410 0.410 0.821
Hg 0.590 0.590 0.179
Hg 0.660 0.160 0.321
Hg 0.840 0.340 0.679
Y 0.078 0.078 0.155
Y 0.922 0.922 0.845
Y 0.328 0.828 0.655
Y 0.172 0.672 0.345


No. 6
First-principles (PBE) data for a geometry-optimized Y2Hg structure, as listed in Alexandria.

## Properties
Formation energy (eV/atom): -0.1229
Total magnetic moment (μB/f.u.): 0.000

a b c (Å): 7.291 7.291 7.291
angles (deg): 90.00 90.00 90.00
Sites, in units of the cell vectors:
Y 0.344 0.344 0.344
Y 0.656 0.656 0.656
Y 0.844 0.156 0.656
Y 0.156 0.844 0.344
Y 0.656 0.844 0.156
Y 0.344 0.156 0.844
Y 0.156 0.656 0.844
Y 0.844 0.344 0.156
Hg 0.000 0.000 0.000
Hg 0.500 0.500 0.000
Hg 0.500 0.000 0.500
Hg 0.000 0.500 0.500


- formation energy of number 2 (Y2Hg)?
  -0.3359 eV/atom